Record 1
This record from Alexandria describes ThCd2Au9 after structural relaxation. The functional is GGA-PBE.

abc: 5.602 5.602 9.695
angles: 73.21 73.21 60.00
Atoms (fractional coordinates):
Th (0.000, 0.000, 0.000)
Cd (0.857, 0.857, 0.429)
Cd (0.143, 0.143, 0.571)
Au (0.667, 0.667, 0.999)
Au (0.333, 0.333, 0.001)
Au (0.500, 0.500, 0.500)
Au (0.413, 0.413, 0.256)
Au (0.919, 0.413, 0.256)
Au (0.413, 0.919, 0.256)
Au (0.587, 0.587, 0.744)
Au (0.587, 0.081, 0.744)
Au (0.081, 0.587, 0.744)

Calculated values
Spin magnetization, μB/f.u.: 0.00
Raw total energy, Ha/atom: -0.1261
Calculated formation energy, eV/atom: -0.20
V, Å³ per cell: 248.4

=====

Record 2
This record from Alexandria describes ThCdAu after structural relaxation. The functional is GGA-PBE.

abc: 3.414 4.943 4.943
angles: 120.00 90.00 90.00
Atoms (fractional coordinates):
Au (0.167, 0.333, 0.667)
Th (0.667, 0.667, 0.333)
Cd (0.167, 0.000, 0.000)

Calculated values
Spin magnetization, μB/f.u.: 0.00
Raw total energy, Ha/atom: -0.1590
Calculated formation energy, eV/atom: -0.46
V, Å³ per cell: 72.3

=====

Q: The lowest raw total energy belongs to which entry?
A: ThCdAu